The following is a DFT calculation (PBE) of an optimized crystal structure of Nd8Hg2Rh.

Unit cell a=5.272 b=7.052 c=9.555 alpha=100.11 beta=106.01 gamma=90.00
Fractional coordinates of all 11 atoms:
1 Nd 0.412 0.558 0.823
2 Nd 0.651 0.965 0.302
3 Nd 0.798 0.686 0.597
4 Nd 0.978 0.223 0.956
5 Nd 0.202 0.314 0.403
6 Nd 0.349 0.035 0.698
7 Nd 0.588 0.442 0.177
8 Nd 0.022 0.777 0.044
9 Hg 0.808 0.257 0.616
10 Hg 0.192 0.743 0.384
11 Rh 0.500 0.000 0.000

ρ in g cm⁻³: 8.20
Energy above the lowest structure with this stoichiometry in eV/atom: 0.000
Magnetization in Bohr magnetons per cell: 0.00
Crystal system: monoclinic